Computed, not measured: a relaxed structure of SrAsHRh2 at the PBE-GGA level of DFT.

SG = P4/mmm, No. 123
calculated volume = 25.050 Å³/atom

Unit cell a=4.498 b=6.190 c=4.498 alpha=90.00 beta=90.00 gamma=90.00
Fractional coordinates of all 5 atoms:
Sr 0.000 0.500 0.000
As 0.000 0.000 0.000
Rh 0.000 0.000 0.500
Rh 0.500 0.000 0.000
H 0.500 0.500 0.500

Computed, not measured: a relaxed structure of Sr5Mo3 at the PBE-GGA level of DFT.

calculated formation energy = 1162.2 meV/atom
SG = P6_3/mcm, No. 193
calculated volume = 34.487 Å³/atom

Unit cell a=9.782 b=9.782 c=6.659 alpha=90.00 beta=90.00 gamma=120.00
Fractional coordinates of all 16 atoms:
Sr 0.333 0.667 0.000
Sr 0.667 0.333 0.500
Sr 0.667 0.333 0.000
Sr 0.333 0.667 0.500
Sr 0.255 0.000 0.250
Sr 0.745 0.000 0.750
Sr 0.000 0.255 0.250
Sr 0.745 0.745 0.250
Sr 0.255 0.255 0.750
Sr 0.000 0.745 0.750
Mo 0.588 0.000 0.250
Mo 0.412 0.000 0.750
Mo 0.000 0.588 0.250
Mo 0.412 0.412 0.250
Mo 0.588 0.588 0.750
Mo 0.000 0.412 0.750

Computed, not measured: a relaxed structure of FePd5Pt6 at the PBE-GGA level of DFT.

calculated formation energy = -98.5 meV/atom
SG = Immm, No. 71
calculated volume = 15.289 Å³/atom

Unit cell a=3.914 b=7.921 c=7.385 alpha=122.43 beta=105.36 gamma=90.00
Fractional coordinates of all 12 atoms:
Pt 0.835 0.589 0.670
Pt 0.835 0.081 0.670
Pt 0.500 0.758 0.000
Pt 0.500 0.242 0.000
Pt 0.165 0.919 0.330
Pt 0.165 0.411 0.330
Fe 0.000 0.000 0.000
Pd 0.664 0.164 0.328
Pd 0.335 0.335 0.671
Pd 0.000 0.500 0.000
Pd 0.665 0.665 0.329
Pd 0.336 0.836 0.672

Computed, not measured: a relaxed structure of Ce2PrTmSe5 at the PBE-GGA level of DFT.

E_form (uncorrected) = -1.353 eV/atom
SG = P4/mmm, No. 123
calculated volume = 31.462 Å³/atom

Unit cell a=5.071 b=5.071 c=11.010 alpha=90.00 beta=90.00 gamma=90.00
Fractional coordinates of all 9 atoms:
Ce 0.500 0.500 0.309
Ce 0.500 0.500 0.691
Pr 0.000 0.000 0.000
Tm 0.000 0.000 0.500
Se 0.000 0.500 0.500
Se 0.500 0.000 0.500
Se 0.000 0.000 0.748
Se 0.000 0.000 0.252
Se 0.500 0.500 0.000

Computed, not measured: a relaxed structure of Sr3LiCa at the PBE-GGA level of DFT.

calculated formation energy = 189.4 meV/atom
SG = Pm-3m, No. 221
calculated volume = 50.336 Å³/atom

Unit cell a=6.314 b=6.314 c=6.314 alpha=90.00 beta=90.00 gamma=90.00
Fractional coordinates of all 5 atoms:
Sr 0.000 0.500 0.000
Sr 0.000 0.000 0.500
Sr 0.500 0.000 0.000
Ca 0.500 0.500 0.500
Li 0.000 0.000 0.000

Computed, not measured: a relaxed structure of La14TbDy at the PBE-GGA level of DFT.

calculated formation energy = 79.2 meV/atom
SG = Amm2, No. 38
calculated volume = 36.109 Å³/atom

Unit cell a=7.146 b=7.146 c=11.888 alpha=90.00 beta=90.00 gamma=72.11
Fractional coordinates of all 16 atoms:
La 0.297 0.703 0.500
La 0.866 0.134 0.500
La 0.845 0.616 0.000
La 0.816 0.605 0.500
La 0.384 0.155 0.000
La 0.395 0.184 0.500
La 0.677 0.893 0.746
La 0.677 0.893 0.254
La 0.107 0.323 0.746
La 0.107 0.323 0.254
La 0.178 0.822 0.755
La 0.178 0.822 0.245
La 0.612 0.388 0.763
La 0.612 0.388 0.237
Tb 0.905 0.095 0.000
Dy 0.343 0.657 0.000

Computed, not measured: a relaxed structure of Ba2UW2N6 at the PBE-GGA level of DFT.

E_form (uncorrected) = -0.841 eV/atom
SG = R-3m, No. 166
calculated volume = 18.372 Å³/atom

Unit cell a=6.197 b=6.197 c=7.051 alpha=63.93 beta=63.93 gamma=60.00
Fractional coordinates of all 11 atoms:
Ba 0.786 0.786 0.643
Ba 0.214 0.214 0.357
U 0.000 0.000 0.000
W 0.429 0.429 0.713
W 0.571 0.571 0.287
N 0.763 0.763 0.226
N 0.248 0.763 0.226
N 0.763 0.248 0.226
N 0.237 0.752 0.774
N 0.752 0.237 0.774
N 0.237 0.237 0.774

Computed, not measured: a relaxed structure of BaTlOF2 at the PBE-GGA level of DFT.

E_form (uncorrected) = -2.009 eV/atom
SG = P4/mmm, No. 123
calculated volume = 23.979 Å³/atom

Unit cell a=5.114 b=5.114 c=4.584 alpha=90.00 beta=90.00 gamma=90.00
Fractional coordinates of all 5 atoms:
Tl 0.500 0.500 0.500
Ba 0.000 0.000 0.000
O 0.000 0.000 0.500
F 0.000 0.500 0.000
F 0.500 0.000 0.000

The evaluated VASP energy for the records listed, in turn: -4.557, -3.951, -5.988, -5.635, -1.603, -4.809, -9.113, -4.607 eV/atom.
The evaluated total magnetization for the records listed, in turn: 0.0, 19.6, 5.8, 3.4, 0.0, 0.0, 0.6, 0.0 μB per cell.